First-principles (PBE-GGA) data for a relaxed NdY2Ga9 crystal, as listed in Alexandria via LeMat-Bulk. Values from VASP.

```
&SYSTEM
  ibrav = 0, nat = 12, ntyp = 3
/
ATOMIC_SPECIES
Nd 144.24 Nd.upf
Y 88.91 Y.upf
Ga 69.72 Ga.upf
CELL_PARAMETERS angstrom
4.3172 0.0000 0.0000
0.0000 4.3172 0.0000
0.0000 0.0000 12.9487
ATOMIC_POSITIONS crystal
Nd 0.0000 0.0000 0.0000
Y 0.0000 0.0000 0.3358
Y 0.0000 0.0000 0.6642
Ga 0.0000 0.5000 0.1710
Ga 0.0000 0.5000 0.5000
Ga 0.0000 0.5000 0.8290
Ga 0.5000 0.0000 0.1710
Ga 0.5000 0.0000 0.5000
Ga 0.5000 0.0000 0.8290
Ga 0.5000 0.5000 0.0000
Ga 0.5000 0.5000 0.3337
Ga 0.5000 0.5000 0.6663
```

## Properties
Crystal system: tetragonal
Formation energy (eV per atom): -0.5291

First-principles (PBE-GGA) data for a relaxed KUF2 crystal, as listed in Alexandria via LeMat-Bulk. Values from VASP.

```
&SYSTEM
  ibrav = 0, nat = 12, ntyp = 3
/
ATOMIC_SPECIES
K 39.10 K.upf
U 238.03 U.upf
F 19.00 F.upf
CELL_PARAMETERS angstrom
3.2977 0.0000 0.0000
-1.6489 2.8559 0.0000
0.0000 0.0000 25.4514
ATOMIC_POSITIONS crystal
K 0.0000 0.0000 0.0000
K 0.3333 0.6667 0.6667
K 0.6667 0.3333 0.3333
U 0.0000 0.0000 0.5000
U 0.3333 0.6667 0.1667
U 0.6667 0.3333 0.8333
F 0.0000 0.0000 0.0979
F 0.0000 0.0000 0.9021
F 0.3333 0.6667 0.5687
F 0.3333 0.6667 0.7646
F 0.6667 0.3333 0.2354
F 0.6667 0.3333 0.4313
```

## Properties
Crystal system: trigonal
Raw formation energy (eV/atom): -1.8166

Calculated values (states/eV/cell) of D(E_F) for the records, taken in order: 5.5 14.2.
Calculated values (Å³ per atom) of volume for the records, taken in order: 20.112 19.975.